(1)
Entry from Alexandria via LeMat-Bulk: a relaxed SrMoSCl2 crystal (GGA-PBEsol).

```
SrMoSCl2
1.0
5.290 0.000 0.000
0.000 5.290 0.000
0.000 0.000 5.680
Sr Mo S Cl
1 1 1 2
Direct
0.000 0.000 0.000
0.500 0.500 0.500
0.000 0.000 0.500
0.000 0.500 0.000
0.500 0.000 0.000
```

Values from the calculation:
* formation energy (no corrections): 0.068 eV/atom
* volume: 31.79 Å³/atom

=====

(2)
Entry from Alexandria via LeMat-Bulk: a relaxed Na2ZrN2 crystal (GGA-PBEsol).

```
Na2ZrN2
1.0
3.324 0.000 0.000
-1.662 2.878 0.000
0.000 0.000 8.859
Na Zr N
2 1 2
Direct
0.333 0.667 0.210
0.667 0.333 0.790
0.000 0.000 0.500
0.333 0.667 0.629
0.667 0.333 0.371
```

Values from the calculation:
* formation energy (no corrections): -0.792 eV/atom
* volume: 16.95 Å³/atom

=====

(3)
Entry from Alexandria via LeMat-Bulk: a relaxed ZrTi2Ga2 crystal (GGA-PBEsol).

```
ZrTi2Ga2
1.0
7.273 0.000 0.000
0.000 7.273 0.000
0.000 0.000 3.179
Zr Ti Ga
2 4 4
Direct
0.000 0.000 0.000
0.500 0.500 0.000
0.177 0.323 0.500
0.323 0.823 0.500
0.677 0.177 0.500
0.823 0.677 0.500
0.123 0.623 0.000
0.377 0.123 0.000
0.623 0.877 0.000
0.877 0.377 0.000
```

Values from the calculation:
* formation enthalpy at 0 K: -10.96 kcal/mol of atoms
* volume: 16.81 Å³/atom